Record 1
Here is a relaxed ZrGeSbI2 crystal from the Alexandria database. Energies are from PBEsol.

a = 5.326 Å, b = 5.326 Å, c = 5.418 Å
α = 90.00°, β = 90.00°, γ = 90.00°
Each line ends with the local moment (μB).
Element x y z (fractional)
Sb  0.000  0.000  0.500  -0.09
I  0.000  0.500  0.000  -0.05
Ge  0.000  0.000  0.000  0.01
I  0.500  0.000  0.000  -0.05
Zr  0.500  0.500  0.500  1.10

Summary:
The space group is P4/mmm, No. 123. For the formation energy without anion corrections, the calculation gives 0.643 eV per atom.


Record 2
Here is a relaxed Te3P4 crystal from the Alexandria database. Energies are from PBEsol.

a = 4.123 Å, b = 6.780 Å, c = 6.780 Å
α = 120.00°, β = 90.00°, γ = 90.00°
Element x y z (fractional)
P  0.740  0.000  0.000
Te  0.000  0.500  0.500
P  0.500  0.333  0.667
Te  0.000  0.500  0.000
P  0.260  0.000  0.000
P  0.500  0.667  0.333
Te  0.000  0.000  0.500

Summary:
The space group is P6/mmm, No. 191. For the formation energy without anion corrections, the calculation gives 0.636 eV per atom.


Record 3
Here is a relaxed SrBiC3 crystal from the Alexandria database. Energies are from PBEsol.

a = 4.515 Å, b = 4.515 Å, c = 4.515 Å
α = 90.00°, β = 90.00°, γ = 90.00°
Each line ends with the local moment (μB).
Element x y z (fractional)
Bi  0.000  0.000  0.000  0.00
C  0.000  0.500  0.000  0.13
Sr  0.500  0.500  0.500  0.01
C  0.000  0.000  0.500  0.13
C  0.500  0.000  0.000  0.13

Summary:
The space group is Pm-3m, No. 221. The calculation puts the energy of formation from the pure elements at 2.376 eV per atom.


Record 4
Here is a relaxed Li2SiPt crystal from the Alexandria database. Energies are from PBEsol.

a = 3.398 Å, b = 3.695 Å, c = 4.868 Å
α = 112.31°, β = 110.43°, γ = 90.00°
Element x y z (fractional)
Li  0.750  0.750  0.501
Pt  0.500  0.000  0.000
Li  0.250  0.250  0.499
Si  0.000  0.500  0.000

Summary:
The space group is Immm, No. 71. For the formation energy without anion corrections, the calculation gives -0.548 eV per atom.


Record 5
Here is a relaxed Mn3ZnPb crystal from the Alexandria database. Energies are from PBEsol.

a = 4.569 Å, b = 4.569 Å, c = 4.569 Å
α = 90.00°, β = 90.00°, γ = 90.00°
Each line ends with the local moment (μB).
Element x y z (fractional)
Mn  0.000  0.500  0.000  3.64
Mn  0.500  0.000  0.000  3.64
Pb  0.500  0.500  0.500  -0.11
Zn  0.000  0.000  0.000  -0.09
Mn  0.000  0.000  0.500  3.64

Summary:
The space group is Pm-3m, No. 221. The calculation puts the energy of formation from the pure elements at 0.894 eV per atom.


Record 6
Here is a relaxed ScReC2 crystal from the Alexandria database. Energies are from PBEsol.

a = 3.857 Å, b = 3.857 Å, c = 3.857 Å
α = 60.00°, β = 60.00°, γ = 60.00°
Element x y z (fractional)
C  0.250  0.250  0.250
Re  0.500  0.500  0.500
C  0.750  0.750  0.750
Sc  0.000  0.000  0.000

Summary:
The space group is Fm-3m, No. 225. The calculation puts the energy of formation from the pure elements at 0.533 eV per atom.


Record 7
Here is a relaxed NaTiZn2Pt crystal from the Alexandria database. Energies are from PBEsol.

a = 4.729 Å, b = 4.729 Å, c = 4.968 Å
α = 90.00°, β = 90.00°, γ = 90.00°
Each line ends with the local moment (μB).
Element x y z (fractional)
Na  0.000  0.000  0.500  0.01
Zn  0.500  0.000  0.000  0.00
Zn  0.000  0.500  0.000  0.00
Pt  0.000  0.000  0.000  0.07
Ti  0.500  0.500  0.500  1.91

Summary:
The space group is P4/mmm, No. 123. The calculation puts the energy of formation from the pure elements at 0.603 eV per atom.


Record 8
Here is a relaxed Pr2MgPd2 crystal from the Alexandria database. Energies are from PBEsol.

a = 3.969 Å, b = 7.700 Å, c = 7.700 Å
α = 90.00°, β = 90.00°, γ = 90.00°
Element x y z (fractional)
Pr  0.500  0.671  0.171
Pr  0.500  0.829  0.671
Pd  0.000  0.630  0.870
Pd  0.000  0.370  0.130
Pd  0.000  0.130  0.630
Pr  0.500  0.171  0.329
Pr  0.500  0.329  0.829
Mg  0.000  0.000  0.000
Mg  0.000  0.500  0.500
Pd  0.000  0.870  0.370

Summary:
The space group is P4/mbm, No. 127. The calculation puts the energy of formation from the pure elements at -0.660 eV per atom.


Record 9
Here is a relaxed FeSiP2 crystal from the Alexandria database. Energies are from PBEsol.

a = 2.721 Å, b = 2.721 Å, c = 8.174 Å
α = 80.42°, β = 80.42°, γ = 60.00°
Each line ends with the local moment (μB).
Element x y z (fractional)
Si  0.500  0.500  0.500  0.00
Fe  0.000  0.000  0.000  0.67
P  0.735  0.735  0.795  -0.01
P  0.265  0.265  0.205  -0.01

Summary:
The space group is R-3m, No. 166. For the formation energy without anion corrections, the calculation gives 0.016 eV per atom.


Record 10
Here is a relaxed SiTeAu2 crystal from the Alexandria database. Energies are from PBEsol.

a = 4.017 Å, b = 3.903 Å, c = 6.366 Å
α = 108.96°, β = 90.00°, γ = 120.97°
Element x y z (fractional)
Au  0.733  0.466  0.701
Te  0.500  0.000  0.000
Au  0.267  0.534  0.299
Si  0.000  0.000  0.500

Summary:
The space group is C2/m, No. 12. For the formation energy without anion corrections, the calculation gives 0.009 eV per atom.


Record 11
Here is a relaxed GeS3Br crystal from the Alexandria database. Energies are from PBEsol.

a = 4.786 Å, b = 4.786 Å, c = 4.786 Å
α = 90.00°, β = 90.00°, γ = 90.00°
Element x y z (fractional)
Ge  0.500  0.500  0.500
S  0.000  0.500  0.000
S  0.000  0.000  0.500
S  0.500  0.000  0.000
Br  0.000  0.000  0.000

Summary:
The space group is Pm-3m, No. 221. For the formation energy without anion corrections, the calculation gives 0.893 eV per atom.


Record 12
Here is a relaxed K2TlAg2 crystal from the Alexandria database. Energies are from PBEsol.

a = 5.286 Å, b = 7.450 Å, c = 7.450 Å
α = 90.00°, β = 90.00°, γ = 90.00°
Element x y z (fractional)
Tl  0.000  0.000  0.000
K  0.500  0.325  0.175
Ag  0.000  0.130  0.370
Ag  0.000  0.870  0.630
K  0.500  0.675  0.825
Ag  0.000  0.630  0.130
Tl  0.000  0.500  0.500
K  0.500  0.175  0.675
Ag  0.000  0.370  0.870
K  0.500  0.825  0.325

Summary:
The space group is P4/mbm, No. 127. The calculation puts the energy of formation from the pure elements at 0.085 eV per atom.


Record 13
Here is a relaxed CuSiCl2 crystal from the Alexandria database. Energies are from PBEsol.

a = 3.061 Å, b = 3.061 Å, c = 7.599 Å
α = 90.00°, β = 90.00°, γ = 90.00°
Element x y z (fractional)
Si  0.500  0.500  0.710
Cl  0.500  0.500  0.340
Cu  0.000  0.000  0.516
Cl  0.000  0.000  0.933

Summary:
The space group is P4mm, No. 99. For the formation energy without anion corrections, the calculation gives -0.028 eV per atom.


Record 14
Here is a relaxed Sr2MgTiTc crystal from the Alexandria database. Energies are from PBEsol.

a = 4.274 Å, b = 6.171 Å, c = 6.171 Å
α = 90.00°, β = 90.00°, γ = 90.00°
Element x y z (fractional)
Mg  0.500  0.500  0.500
Ti  0.000  0.000  0.000
Sr  0.000  0.500  0.000
Tc  0.500  0.000  0.000
Sr  0.000  0.000  0.500

Summary:
The space group is P4/mmm, No. 123. The calculation puts the energy of formation from the pure elements at 0.784 eV per atom.


Record 15
Here is a relaxed Y3HfGa crystal from the Alexandria database. Energies are from PBEsol.

a = 5.412 Å, b = 5.412 Å, c = 5.412 Å
α = 90.00°, β = 90.00°, γ = 90.00°
Element x y z (fractional)
Y  0.500  0.000  0.000
Hf  0.000  0.000  0.000
Ga  0.500  0.500  0.500
Y  0.000  0.500  0.000
Y  0.000  0.000  0.500

Summary:
The space group is Pm-3m, No. 221. The calculation puts the energy of formation from the pure elements at 0.766 eV per atom.


Record 16
Here is a relaxed FeReIr2 crystal from the Alexandria database. Energies are from PBEsol.

a = 3.788 Å, b = 3.788 Å, c = 4.609 Å
α = 114.27°, β = 114.27°, γ = 90.00°
Each line ends with the local moment (μB).
Element x y z (fractional)
Ir  0.250  0.750  0.500  0.05
Fe  0.000  0.000  0.000  2.16
Re  0.500  0.500  0.000  -0.26
Ir  0.750  0.250  0.500  0.05

Summary:
The space group is I4/mmm, No. 139. The calculation puts the energy of formation from the pure elements at -0.117 eV per atom.


Record 17
Here is a relaxed ZrCdIn2Co crystal from the Alexandria database. Energies are from PBEsol.

a = 5.024 Å, b = 5.024 Å, c = 5.330 Å
α = 90.00°, β = 90.00°, γ = 90.00°
Each line ends with the local moment (μB).
Element x y z (fractional)
Zr  0.000  0.000  0.500  -0.07
In  0.500  0.000  0.000  0.00
Cd  0.000  0.000  0.000  0.01
In  0.000  0.500  0.000  0.00
Co  0.500  0.500  0.500  2.05

Summary:
The space group is P4/mmm, No. 123. The calculation puts the energy of formation from the pure elements at 1.347 eV per atom.


Record 18
Here is a relaxed TlTe2 crystal from the Alexandria database. Energies are from PBEsol.

a = 10.736 Å, b = 10.736 Å, c = 10.736 Å
α = 60.00°, β = 60.00°, γ = 60.00°
Element x y z (fractional)
Te  0.039  0.461  0.039
Tl  0.803  0.399  0.399
Te  0.461  0.039  0.039
Tl  0.851  0.851  0.851
Te  0.211  0.789  0.211
Te  0.789  0.211  0.211
Te  0.125  0.625  0.125
Te  0.211  0.211  0.789
Tl  0.447  0.851  0.851
Tl  0.399  0.399  0.399
Te  0.039  0.461  0.461
Te  0.125  0.125  0.625
Te  0.125  0.125  0.125
Te  0.789  0.789  0.211
Te  0.039  0.039  0.461
Tl  0.851  0.447  0.851
Tl  0.851  0.851  0.447
Te  0.211  0.789  0.789
Te  0.789  0.211  0.789
Te  0.625  0.125  0.125
Tl  0.399  0.399  0.803
Te  0.461  0.461  0.039
Te  0.461  0.039  0.461
Tl  0.399  0.803  0.399

Summary:
The space group is Fd-3m, No. 227. For the formation energy without anion corrections, the calculation gives -0.036 eV per atom.


Record 19
Here is a relaxed LaHgTeRu2 crystal from the Alexandria database. Energies are from PBEsol.

a = 4.702 Å, b = 4.702 Å, c = 6.258 Å
α = 90.00°, β = 90.00°, γ = 90.00°
Each line ends with the local moment (μB).
Element x y z (fractional)
Ru  0.000  0.500  0.000  0.76
La  0.000  0.000  0.000  -0.08
Te  0.000  0.000  0.500  0.03
Ru  0.500  0.000  0.000  0.76
Hg  0.500  0.500  0.500  -0.01

Summary:
The space group is P4/mmm, No. 123. For the formation energy without anion corrections, the calculation gives 1.395 eV per atom.


Record 20
Here is a relaxed LaAlCrPt2 crystal from the Alexandria database. Energies are from PBEsol.

a = 4.898 Å, b = 5.108 Å, c = 5.108 Å
α = 90.00°, β = 90.00°, γ = 90.00°
Each line ends with the local moment (μB).
Element x y z (fractional)
Pt  0.000  0.500  0.000  0.01
Pt  0.000  0.000  0.500  0.01
Al  0.500  0.500  0.500  0.00
Cr  0.500  0.000  0.000  3.55
La  0.000  0.000  0.000  0.10

Summary:
The space group is P4/mmm, No. 123. The calculation puts the energy of formation from the pure elements at 1.387 eV per atom.